Below is a relaxed BePPtS2 crystal, with properties calculated at the PBE level.

Output
As for the crystal system: tetragonal. The calculation puts the density of states at the Fermi level at 4.2 states/eV per cell. As for the uncorrected formation energy: 5.02 eV per formula unit. As for the volume: 107.35 Å³/cell. For the energy above the most stable polymorph in this dataset, the calculation gives 340 meV per atom. As for the space-group type: No. 123.

CIF file:
```
data_BePPtS2
_chemical_formula_sum 'Be1 P1 Pt1 S2'
_symmetry_space_group_name_H-M 'P 1'
_symmetry_Int_Tables_number 1
_cell_length_a 4.9630
_cell_length_b 4.9630
_cell_length_c 4.3581
_cell_angle_alpha 90.00
_cell_angle_beta 90.00
_cell_angle_gamma 90.00
loop_
_symmetry_equiv_pos_as_xyz
'x,y,z'
loop_
_atom_site_label
_atom_site_type_symbol
_atom_site_fract_x
_atom_site_fract_y
_atom_site_fract_z
Be1 Be 0.0000 0.0000 0.0000
P1 P 0.5000 0.5000 0.0000
Pt1 Pt 0.5000 0.5000 0.5000
S1 S 0.0000 0.5000 0.5000
S2 S 0.5000 0.0000 0.5000
```

Below is a relaxed BeP2PtS crystal, with properties calculated at the PBE level.

Output
As for the crystal system: tetragonal. The calculation puts the density of states at the Fermi level at 4.8 states/eV per cell. As for the uncorrected formation energy: 5.52 eV per formula unit. As for the volume: 105.79 Å³/cell. For the energy above the most stable polymorph in this dataset, the calculation gives 437 meV per atom. As for the space-group type: No. 123.

CIF file:
```
data_BeP2PtS
_chemical_formula_sum 'Be1 P2 Pt1 S1'
_symmetry_space_group_name_H-M 'P 1'
_symmetry_Int_Tables_number 1
_cell_length_a 4.5581
_cell_length_b 4.5581
_cell_length_c 5.0918
_cell_angle_alpha 90.00
_cell_angle_beta 90.00
_cell_angle_gamma 90.00
loop_
_symmetry_equiv_pos_as_xyz
'x,y,z'
loop_
_atom_site_label
_atom_site_type_symbol
_atom_site_fract_x
_atom_site_fract_y
_atom_site_fract_z
Be1 Be 0.0000 0.0000 0.0000
P1 P 0.0000 0.5000 0.5000
P2 P 0.5000 0.0000 0.5000
Pt1 Pt 0.5000 0.5000 0.5000
S1 S 0.5000 0.5000 0.0000
```

Below is a relaxed BeSbPPt2 crystal, with properties calculated at the PBE level.

Output
As for the crystal system: tetragonal. The calculation puts the density of states at the Fermi level at 1.9 states/eV per cell. As for the uncorrected formation energy: 0.45 eV per formula unit. As for the volume: 89.18 Å³/cell. As for the space-group type: No. 123.

CIF file:
```
data_BeSbPPt2
_chemical_formula_sum 'Be1 Sb1 P1 Pt2'
_symmetry_space_group_name_H-M 'P 1'
_symmetry_Int_Tables_number 1
_cell_length_a 4.7789
_cell_length_b 4.7789
_cell_length_c 3.9050
_cell_angle_alpha 90.00
_cell_angle_beta 90.00
_cell_angle_gamma 90.00
loop_
_symmetry_equiv_pos_as_xyz
'x,y,z'
loop_
_atom_site_label
_atom_site_type_symbol
_atom_site_fract_x
_atom_site_fract_y
_atom_site_fract_z
Be1 Be 0.0000 0.0000 0.0000
Sb1 Sb 0.5000 0.5000 0.0000
P1 P 0.0000 0.0000 0.5000
Pt1 Pt 0.0000 0.5000 0.5000
Pt2 Pt 0.5000 0.0000 0.5000
```